Crystalline Ho4CoTe2 at its relaxed geometry. Source: the Alexandria database, functional PBE.

CIF file:
```
data_Ho4CoTe2
_space_group_name_H-M_alt 'P b a m'
_space_group_IT_number 55
_space_group_name_Hall '-P 2 2ab'
_cell_length_a 7.885
_cell_length_b 12.158
_cell_length_c 4.117
_cell_angle_alpha 90.00
_cell_angle_beta 90.00
_cell_angle_gamma 90.00
loop_
_atom_site_label
_atom_site_type_symbol
_atom_site_fract_x
_atom_site_fract_y
_atom_site_fract_z
_atom_site_occupancy
Ho1 Ho 0.135 0.193 0.000 1
Ho2 Ho 0.196 0.943 0.500 1
Co1 Co 0.000 0.000 0.000 1
Te1 Te 0.068 0.665 0.500 1
```

Computed properties:
Magnetic moment (μB per formula unit): 0.0
E_form (uncorrected) (eV per formula unit): -5.8